(1)
# La3Dy4S8

A geometry-optimized La3Dy4S8 structure (PBE-GGA, Alexandria via LeMat-Bulk).

calculated total energy = -6.49 eV/atom
energy relative to the elements, uncorrected = -2.079 eV/atom

abc: 8.0437 8.0437 7.9849
angles: 119.71 119.71 90.04
Atoms (fractional coordinates):
1 La 0.0000 0.0000 0.0000
2 La 0.0000 0.5000 0.0000
3 La 0.5000 0.0000 0.0000
4 Dy 0.0000 0.5000 0.5000
5 Dy 0.5000 0.0000 0.5000
6 Dy 0.5000 0.5000 0.0000
7 Dy 0.5000 0.5000 0.5000
8 S 0.2560 0.7440 0.5000
9 S 0.2566 0.7434 0.0000
10 S 0.2606 0.2606 0.5123
11 S 0.2644 0.2644 0.0151
12 S 0.7356 0.7356 0.9849
13 S 0.7394 0.7394 0.4877
14 S 0.7434 0.2566 0.0000
15 S 0.7440 0.2560 0.5000

---

(2)
# LaDy5S6

A geometry-optimized LaDy5S6 structure (PBE-GGA, Alexandria via LeMat-Bulk).

calculated total energy = -6.41 eV/atom
energy relative to the elements, uncorrected = -2.018 eV/atom

abc: 6.8482 6.8482 6.8314
angles: 99.70 99.70 120.12
Atoms (fractional coordinates):
1 La 0.0000 0.0000 0.0000
2 Dy 0.1626 0.8374 0.5000
3 Dy 0.3334 0.6666 0.0000
4 Dy 0.5000 0.5000 0.5000
5 Dy 0.6666 0.3334 0.0000
6 Dy 0.8374 0.1626 0.5000
7 S 0.0858 0.4303 0.2576
8 S 0.2597 0.2597 0.7463
9 S 0.4303 0.0858 0.2576
10 S 0.5697 0.9142 0.7424
11 S 0.7403 0.7403 0.2537
12 S 0.9142 0.5697 0.7424